Compound: Tl2MoIr
Source: Alexandria via LeMat-Bulk
Functional: PBE
Structure: optimized geometry

Computed properties:
Formation enthalpy at 0 K: 314.0 meV/atom
ΔE to the lowest computed polymorph: 24 meV/atom
Electronic total energy: -23.17 eV for the cell shown
Volume: 84.6 Å³ per cell
Crystal system: tetragonal

abc: 3.068 3.065 8.993
angles: 90.00 90.00 90.00
Sites, in units of the cell vectors:
Ir 0.000 0.000 0.546
Mo 0.500 0.500 0.707
Tl 0.000 0.000 0.959
Tl 0.500 0.500 0.289

Compound: Tl2MoIr
Source: Alexandria via LeMat-Bulk
Functional: PBE
Structure: optimized geometry

Computed properties:
Formation enthalpy at 0 K: 589.1 meV/atom
ΔE to the lowest computed polymorph: 299 meV/atom
Electronic total energy: -22.07 eV for the cell shown
Volume: 83.3 Å³ per cell
Crystal system: orthorhombic

abc: 6.456 6.456 6.456
angles: 153.52 135.77 52.29
Sites, in units of the cell vectors:
Ir 0.458 0.458 0.000
Mo 0.278 0.778 0.500
Tl 0.030 0.030 0.000
Tl 0.733 0.233 0.500

Compound: Tl2MoIr
Source: Alexandria via LeMat-Bulk
Functional: PBE
Structure: optimized geometry

Computed properties:
Formation enthalpy at 0 K: 782.5 meV/atom
ΔE to the lowest computed polymorph: 493 meV/atom
Electronic total energy: -21.29 eV for the cell shown
Volume: 78.2 Å³ per cell
Crystal system: orthorhombic

abc: 3.063 5.326 4.794
angles: 90.00 90.00 90.00
Sites, in units of the cell vectors:
Ir 0.500 0.000 0.500
Mo 0.000 0.500 0.500
Tl 0.000 0.000 0.000
Tl 0.500 0.500 0.000